(1)
First-principles (PBE) data for a relaxed structure of NaTc2N3, as listed in Alexandria via LeMat-Bulk.

N(E_F): 19.07 states/eV per cell
V: 15.18 Å³ per atom
total moment: 0.889 μB per cell
formation energy from raw total energies: 21.5 kJ/mol of atoms

Geometry as CIF:
```
data_NaTc2N3
_cell_length_a 6.847
_cell_length_b 10.304
_cell_length_c 5.166
_cell_angle_alpha 90.00
_cell_angle_beta 90.00
_cell_angle_gamma 90.00
_symmetry_space_group_name_H-M 'C m c m'
_symmetry_Int_Tables_number 63
_symmetry_space_group_name_Hall '-C 2c 2'
loop_
_atom_site_label
_atom_site_type_symbol
_atom_site_fract_x
_atom_site_fract_y
_atom_site_fract_z
Na1 Na 0.000 0.231 0.250
Tc1 Tc 0.198 0.500 0.000
N1 N 0.000 0.411 0.750
N2 N 0.093 0.054 0.750
```

(2)
First-principles (PBE) data for a relaxed structure of Y2CoSi4Ir3, as listed in Alexandria via LeMat-Bulk.

N(E_F): 5.69 states/eV per cell
V: 16.48 Å³ per atom
total moment: 0.000 μB per cell
formation energy from raw total energies: -93.6 kJ/mol of atoms

Geometry as CIF:
```
data_Y2CoSi4Ir3
_cell_length_a 4.083
_cell_length_b 4.083
_cell_length_c 9.882
_cell_angle_alpha 90.00
_cell_angle_beta 90.00
_cell_angle_gamma 90.00
_symmetry_space_group_name_H-M 'P -4 m 2'
_symmetry_Int_Tables_number 115
loop_
_symmetry_equiv_pos_as_xyz
'x,y,z'
'y,-x,-z'
'-x,-y,z'
'-y,x,-z'
'-x,y,z'
'-y,-x,-z'
'x,-y,z'
'y,x,-z'
loop_
_atom_site_label
_atom_site_type_symbol
_atom_site_fract_x
_atom_site_fract_y
_atom_site_fract_z
Y1 Y 0.000 0.500 0.250
Co1 Co 0.000 0.000 0.500
Si1 Si 0.000 0.000 0.000
Si2 Si 0.000 0.500 0.626
Si3 Si 0.500 0.500 0.000
Ir1 Ir 0.000 0.500 0.869
Ir2 Ir 0.500 0.500 0.500
```

(3)
First-principles (PBE) data for a relaxed structure of Sm2ClO, as listed in Alexandria via LeMat-Bulk.

N(E_F): 8.85 states/eV per cell
V: 19.54 Å³ per atom
total moment: 0.000 μB per cell
formation energy from raw total energies: -190.5 kJ/mol of atoms

Geometry as CIF:
```
data_Sm2ClO
_cell_length_a 3.5796
_cell_length_b 3.5796
_cell_length_c 21.1323
_cell_angle_alpha 90.00
_cell_angle_beta 90.00
_cell_angle_gamma 120.00
_symmetry_space_group_name_H-M 'R -3 m'
_symmetry_Int_Tables_number 166
_symmetry_space_group_name_Hall '-R 3 2"'
loop_
_atom_site_label
_atom_site_type_symbol
_atom_site_fract_x
_atom_site_fract_y
_atom_site_fract_z
Sm1 Sm 0.0000 0.0000 0.2309
Cl1 Cl 0.0000 0.0000 0.0000
O1 O 0.0000 0.0000 0.5000
```

(4)
First-principles (PBE) data for a relaxed structure of ZnFe2HRh, as listed in Alexandria via LeMat-Bulk.

N(E_F): 2.87 states/eV per cell
V: 10.88 Å³ per atom
total moment: 5.699 μB per cell
energy relative to the lowest polymorph listed for this composition: 0.0 meV per atom

Geometry as CIF:
```
data_ZnFe2HRh
_cell_length_a 3.736
_cell_length_b 3.736
_cell_length_c 3.898
_cell_angle_alpha 90.00
_cell_angle_beta 90.00
_cell_angle_gamma 90.00
_symmetry_space_group_name_H-M 'P 4/m m m'
_symmetry_Int_Tables_number 123
_symmetry_space_group_name_Hall '-P 4 2'
loop_
_atom_site_label
_atom_site_type_symbol
_atom_site_fract_x
_atom_site_fract_y
_atom_site_fract_z
Zn1 Zn 0.000 0.000 0.000
Fe1 Fe 0.000 0.500 0.500
H1 H 0.500 0.500 0.500
Rh1 Rh 0.500 0.500 0.000
```

(5)
First-principles (PBE) data for a relaxed structure of Ni3Sb, as listed in Alexandria via LeMat-Bulk.

N(E_F): 4.82 states/eV per cell
V: 12.97 Å³ per atom
total moment: 0.000 μB per cell
energy relative to the lowest polymorph listed for this composition: 13.3 meV per atom
formation energy from raw total energies: -13.4 kJ/mol of atoms

Geometry as CIF:
```
data_Ni3Sb
_cell_length_a 5.2984
_cell_length_b 5.2984
_cell_length_c 4.2692
_cell_angle_alpha 90.00
_cell_angle_beta 90.00
_cell_angle_gamma 120.00
_symmetry_space_group_name_H-M 'P 63/m m c'
_symmetry_Int_Tables_number 194
_symmetry_space_group_name_Hall '-P 6c 2c'
loop_
_atom_site_label
_atom_site_type_symbol
_atom_site_fract_x
_atom_site_fract_y
_atom_site_fract_z
Ni1 Ni 0.1627 0.3254 0.2500
Sb1 Sb 0.3333 0.6667 0.7500
```

V of number 2 (Y2CoSi4Ir3)?
16.48 Å³ per atom